Here is Cu2TcPb after structural relaxation from the Alexandria database. Energies are from PBE.

a = 2.970 Å, b = 2.970 Å, c = 26.976 Å
α = 90.00°, β = 90.00°, γ = 120.00°
Element x y z (fractional)
Cu: 0.000 0.000 0.241
Cu: 0.000 0.000 0.759
Cu: 0.333 0.667 0.426
Cu: 0.333 0.667 0.907
Cu: 0.667 0.333 0.093
Cu: 0.667 0.333 0.574
Tc: 0.000 0.000 0.500
Tc: 0.333 0.667 0.167
Tc: 0.667 0.333 0.833
Pb: 0.000 0.000 0.000
Pb: 0.333 0.667 0.667
Pb: 0.667 0.333 0.333

Output
- Spin magnetization: 0.007 μB per cell
- DFT total energy: -4.9606 eV per atom
- Energy of formation: 606 meV/atom